# 1
10
Lattice="7.0993 0.0000 0.0000 0.0000 8.1581 0.0000 0.0000 -4.0790 5.5800" Properties=species:S:1:pos:R:3 comment="DyY2ErSc, optimized geometry, DFT PBE-GGA" n_ef_per_ev_cell=13.0 crystal_system=orthorhombic final_energy_ev_per_atom=-5.324 magmom_total_mub_per_fu=0.00 pbc="T T T"
Y 3.5497 5.6964 0.0000
Er 1.7748 0.0000 2.9977
Y 0.0000 5.6964 0.0000
Sc 5.3245 0.0000 0.0035
Dy 5.3245 0.0000 2.9878
Sc 1.7748 4.0790 5.5765
Y 3.5497 2.4617 0.0000
Y 0.0000 2.4617 0.0000
Er 5.3245 4.0790 2.5823
Dy 1.7748 4.0790 2.5922


# 2
11
Lattice="-2.5501 4.1872 0.0523 2.2769 -0.0852 -5.2819 -4.6604 -5.8468 1.4996" Properties=species:S:1:pos:R:3 comment="Sn2HPd8, optimized geometry, DFT PBE-GGA" n_ef_per_ev_cell=5.0 crystal_system=triclinic final_energy_ev_per_atom=-5.152 magmom_total_mub_per_fu=0.00 pbc="T T T"
Pd -0.6055 -0.8828 -1.1356
Sn -3.0075 -2.2993 -0.6431
Pd 0.5872 -0.9453 -3.8154
H -4.4430 -5.1752 0.7395
Pd -4.2433 -1.0495 -2.7472
Sn -1.7922 0.3929 -3.2844
Pd 0.5235 1.9387 -4.0404
Pd -0.7237 2.0661 -1.4278
Pd -3.0757 0.5508 -0.7075
Pd -1.7314 -2.4537 -3.2247
Pd -5.3844 -0.9151 -0.1271


# 3
19
Lattice="7.7755 -0.0525 -0.0464 1.0504 7.7044 -0.0464 1.0504 0.9107 7.6506" Properties=species:S:1:pos:R:3 comment="Na2Cd17, optimized geometry, DFT PBE-GGA" n_ef_per_ev_cell=5.7 crystal_system=trigonal final_energy_ev_per_atom=-0.988 magmom_total_mub_per_fu=0.00 pbc="T T T"
Cd 1.0504 5.6491 2.2822
Na 6.5425 5.6722 5.0066
Na 3.3339 2.8904 2.5512
Cd 3.0850 0.6193 5.3219
Cd 4.0190 6.8004 2.6606
Cd 5.7409 0.2389 2.2822
Cd 5.8573 5.0782 1.1404
Cd 7.3015 3.0143 2.6606
Cd 3.0850 5.3577 -0.0464
Cd 0.5252 0.4553 3.8253
Cd 0.9961 0.8636 0.7622
Cd 5.8573 1.7622 4.8972
Cd 2.5748 5.5483 4.8972
Cd 4.0190 3.4844 6.4174
Cd 5.7409 2.2942 -0.0464
Cd 0.5252 3.8522 -0.0232
Cd 1.0504 2.9660 5.3219
Cd 8.8803 7.6990 6.7956
Cd 3.8878 -0.0263 -0.0232


# 4
80
Lattice="12.5834 0.0000 0.0000 -4.1945 11.8638 0.0000 -4.1945 -5.9319 10.2743" Properties=species:S:1:pos:R:3 comment="V3As5Pd12, optimized geometry, DFT PBE-GGA" n_ef_per_ev_cell=82.1 crystal_system=cubic final_energy_ev_per_atom=-5.615 magmom_total_mub_per_fu=5.57 pbc="T T T"
As 4.1945 -2.9659 5.1372
Pd 1.5879 4.6628 6.8123
Pd -1.7696 -0.0854 8.5992
Pd 8.7166 5.8465 1.6751
Pd 1.7696 1.4080 9.3628
Pd -0.7376 6.7601 4.2256
As 6.2917 0.0000 0.0000
Pd 6.8011 -0.6023 2.3071
Pd -3.6851 5.2651 5.7691
V 3.1459 0.0000 7.7057
Pd 2.8349 5.1037 4.2256
V 1.0486 -0.7415 3.8529
As 3.1459 8.8978 2.5686
Pd -1.3596 4.0736 8.8788
Pd 1.7696 -1.4934 9.5107
Pd -3.4568 10.0055 1.3956
Pd 6.3911 3.0420 3.7416
Pd 1.9979 7.7273 4.3735
Pd 4.5221 1.4934 9.5107
As -1.0486 9.6393 1.2843
V 7.3403 3.7074 1.2843
As -4.1945 2.9659 5.1372
Pd 6.3911 10.6172 0.6319
As 5.2431 5.1904 3.8529
V 3.1459 6.6734 6.4215
Pd 9.1266 2.6865 2.8301
As 5.2431 -3.7074 8.9900
Pd 5.7824 6.5987 5.7691
Pd -2.1966 2.8899 6.5327
As 0.0000 0.0000 0.0000
As -3.1459 6.6734 3.8529
Pd -4.2939 8.8218 3.7416
Pd -0.3277 7.3399 0.9115
Pd 2.6066 1.2691 3.4620
As 3.1459 2.2245 1.2843
Pd 7.6513 -4.0736 8.8788
Pd 0.0994 4.1365 4.3735
Pd 5.5541 9.1773 2.8301
Pd -4.9321 3.2454 7.4442
Pd -1.3596 -3.2454 7.4442
As 4.1945 5.9319 0.0000
Pd 3.6851 -1.2691 3.4620
V -1.0486 5.1904 6.4215
Pd -4.5221 0.0854 8.5992
Pd 0.5094 7.2010 6.8123
Pd 7.8796 0.6668 4.5052
Pd 4.5221 -1.4080 9.3628
Pd 4.9321 -0.8282 6.0487
As 1.0486 3.7074 8.9900
Pd 2.4249 7.4253 0.7636
As 2.0972 2.9659 5.1372
Pd -0.3277 4.4385 0.7636
Pd -2.6066 6.5342 7.9673
V -5.2431 5.9319 7.7057
V -3.1459 -2.2245 8.9900
As 5.2431 2.9659 7.7057
V 5.2431 0.7415 3.8529
As 7.3403 -0.7415 6.4215
As 1.0486 -2.9659 7.7057
Pd 8.4883 -2.8899 6.5327
Pd 8.2896 1.2466 0.6319
As -1.0486 2.9659 2.5686
Pd -0.5094 0.6023 2.3071
V 1.0486 5.9319 2.5686
Pd 5.9640 6.0173 1.6751
Pd 2.4249 4.5239 0.9115
Pd -1.5879 -0.6668 4.5052
Pd 2.1966 -1.7954 5.9008
V 7.3403 8.1563 1.2843
Pd -4.0951 4.6853 9.6424
As -1.0486 0.7415 6.4215
V 9.4376 0.0000 2.5686
As -2.0972 -2.9659 5.1372
Pd 4.0951 1.7954 5.9008
Pd -2.1966 -4.6853 9.6424
Pd 5.5541 1.8582 1.3956
Pd 4.7038 5.3296 7.9673
As -2.0972 5.9319 0.0000
V -3.1459 2.2245 8.9900
Pd 1.3596 0.8282 6.0487


# 5
21
Lattice="-0.6479 -4.1935 -2.2146 11.8331 0.7088 -4.8042 -1.9873 -5.6591 11.2974" Properties=species:S:1:pos:R:3 comment="K2Na12Hg7, optimized geometry, DFT PBE-GGA" n_ef_per_ev_cell=10.1 crystal_system=hexagonal final_energy_ev_per_atom=-1.134 magmom_total_mub_per_fu=0.00 pbc="T T T"
Na 1.2249 -4.4838 2.9596
Na 4.3275 -2.5448 3.5527
Na 3.2607 -0.0799 -0.8027
Na 0.9565 -6.4184 6.7015
Na 4.7051 -5.9974 4.8075
Na -0.4357 -3.0692 5.9392
Na 3.5990 -3.4155 0.2421
Hg 2.6195 -3.5365 5.9302
K 7.2263 -1.4138 0.5630
Hg 1.8787 -1.2876 1.8885
Na 9.1126 -4.9740 1.5800
Hg 9.7267 -3.5833 -1.2330
Hg 4.9967 -2.2618 -2.3515
Na 3.9667 -4.9954 8.2986
Hg 6.9576 -4.8379 7.1253
K -0.3240 -2.0968 -1.1073
Hg -0.9778 -4.4839 8.7767
Hg 5.9835 -4.6867 1.9515
Na 10.7798 -0.6519 -1.9195
Na 7.9954 -2.1423 -3.4551
Na 7.6384 -3.5097 4.4111


# 6
4
Lattice="-3.5065 3.2682 2.6989 -4.9540 1.0773 -2.1349 -4.5143 -2.1261 2.3155" Properties=species:S:1:pos:R:3 comment="LaCeCdSn, optimized geometry, DFT PBE-GGA" n_ef_per_ev_cell=9.8 crystal_system=cubic final_energy_ev_per_atom=-4.402 magmom_total_mub_per_fu=1.09 pbc="T T T"
La 0.0000 0.0000 0.0000
Cd -9.7312 1.6645 2.1596
Sn -3.2437 0.5548 0.7199
Ce -6.4874 1.1097 1.4397


# 7
8
Lattice="4.1531 0.0000 0.0000 0.0000 4.1531 0.0000 2.0766 2.0766 9.8911" Properties=species:S:1:pos:R:3 comment="YZn2Ge, optimized geometry, DFT PBE-GGA" n_ef_per_ev_cell=3.0 crystal_system=tetragonal final_energy_ev_per_atom=-3.593 magmom_total_mub_per_fu=0.00 pbc="T T T"
Ge 2.0766 4.1531 4.9456
Y 0.0000 0.0000 0.0000
Zn 5.1914 4.9389 7.4183
Y 4.1531 2.0766 4.9456
Zn 2.8623 1.0383 2.4728
Zn 3.1148 3.3673 7.4183
Zn 1.2908 3.1148 2.4728
Ge 2.0766 2.0766 0.0000


# 8
24
Lattice="4.2790 0.0000 0.0000 0.0000 10.7189 0.0000 0.0000 0.0000 11.6556" Properties=species:S:1:pos:R:3 comment="Ho3Ga2Co, optimized geometry, DFT PBE-GGA" n_ef_per_ev_cell=25.6 crystal_system=orthorhombic final_energy_ev_per_atom=-4.970 magmom_total_mub_per_fu=0.00 pbc="T T T"
Ga 1.0698 7.4264 5.6546
Ho 1.0698 8.5659 8.5255
Ga 3.2093 5.3738 2.3191
Ho 1.0698 0.6529 10.3023
Ho 3.2093 6.6853 11.0533
Co 1.0698 1.3445 1.3935
Ho 3.2093 9.3930 5.2255
Ga 1.0698 0.0144 3.5087
Co 3.2093 6.7039 4.4343
Ho 3.2093 10.0659 1.3534
Ga 3.2093 2.0670 0.1732
Ho 3.2093 6.0124 7.1812
Ho 1.0698 4.7065 4.4744
Ho 1.0698 4.0336 0.6023
Ga 1.0698 8.6519 11.4824
Co 3.2093 9.3744 10.2621
Ho 3.2093 2.1530 3.1301
Co 1.0698 4.0150 7.2213
Ga 3.2093 10.7045 8.1469
Ho 1.0698 1.3259 6.4301
Ho 1.0698 7.5125 2.6977
Ga 1.0698 5.3451 9.3365
Ho 3.2093 3.2064 8.9579
Ga 3.2093 3.2925 6.0010